ReNiCl2 | PBEsol | relaxed

a b c (Å): 7.005 7.005 7.005
angles (deg): 156.50 145.07 42.53
Atoms (fractional coordinates):
Re 0.000 0.000 0.000
Ni 0.500 0.500 0.000
Cl 0.148 0.648 0.500
Cl 0.852 0.352 0.500

Properties
Volume in Å³/atom: 19.57
DFT total energy in eV/atom: -5.593
Raw formation energy in eV per atom: 0.284
Total moment in μB per formula unit: 1.2
Relative energy among the computed polymorphs in eV per atom: 0.000